The following is a GGA-PBEsol calculation of a geometry-optimized Rb3YO3 structure, from Alexandria via LeMat-Bulk.

Geometry as CIF:
```
data_Rb3YO3
_cell_length_a 7.681
_cell_length_b 7.281
_cell_length_c 11.722
_cell_angle_alpha 90.00
_cell_angle_beta 93.21
_cell_angle_gamma 90.00
_symmetry_space_group_name_H-M 'P 1'
_symmetry_Int_Tables_number 1
_symmetry_space_group_name_Hall 'P 1'
loop_
_atom_site_label
_atom_site_fract_x
_atom_site_fract_y
_atom_site_fract_z
_atom_site_occupancy
Rb1 0.076 0.126 0.163 1
Rb2 0.076 0.374 0.663 1
Rb3 0.355 0.159 0.922 1
Rb4 0.355 0.341 0.422 1
Rb5 0.380 0.695 0.811 1
Rb6 0.380 0.805 0.311 1
Rb7 0.620 0.195 0.689 1
Rb8 0.620 0.305 0.189 1
Rb9 0.645 0.659 0.578 1
Rb10 0.645 0.841 0.078 1
Rb11 0.924 0.626 0.337 1
Rb12 0.924 0.874 0.837 1
Y1 0.161 0.593 0.071 1
Y2 0.161 0.907 0.571 1
Y3 0.839 0.093 0.429 1
Y4 0.839 0.407 0.929 1
O1 0.118 0.048 0.408 1
O2 0.118 0.452 0.908 1
O3 0.261 0.640 0.554 1
O4 0.261 0.860 0.054 1
O5 0.300 0.053 0.699 1
O6 0.300 0.447 0.199 1
O7 0.700 0.553 0.801 1
O8 0.700 0.947 0.301 1
O9 0.739 0.140 0.946 1
O10 0.739 0.360 0.446 1
O11 0.882 0.548 0.092 1
O12 0.882 0.952 0.592 1
```

Total magnetic moment = 0.39 μB per cell
Total energy = -0.41193 Ry/atom
Space group = P2_1/c
Uncorrected formation energy = -1.9409 eV per atom